The following is a DFT calculation (GGA+U) of CoWO2F after structural relaxation.

Cell and atoms, written as extended XYZ:
```
5
Lattice="3.874 0.000 0.000 0.000 3.874 0.000 0.000 0.000 3.709" Properties=species:S:1:pos:R:3 pbc="T T T"
W 1.937 1.937 1.854
Co 0.000 0.000 0.000
F 0.000 0.000 1.854
O 1.937 0.000 0.000
O 0.000 1.937 0.000
```

N(E_F) in states/eV/atom: 0.27
Space-group type: P4/mmm, No. 123
Final energy in eV/atom: -5.40
Mass density in g cm⁻³: 8.77
Total moment in μB per atom: 0.798